No. 1
The following is a DFT calculation (PBE) of an optimized crystal structure of YThMg.

```
YThMg
1.0
3.556 0.000 0.000
0.000 3.556 0.000
-1.778 -1.778 7.093
Y Mg Th
1 1 1
Direct
0.006 0.006 0.013
0.663 0.663 0.327
0.330 0.330 0.660
```

Calculated values
DFT total energy = -5.15 eV/atom
ΔE to the lowest computed polymorph = 0.0379 eV per atom

***

No. 2
The following is a DFT calculation (PBE) of an optimized crystal structure of Dy2Al7Ag12.

```
Dy2Al7Ag12
1.0
3.230 0.000 0.000
0.000 10.178 -5.876
0.000 0.000 11.752
Dy Al Ag
2 7 12
Direct
0.247 0.333 0.667
0.753 0.667 0.333
0.500 0.000 0.000
0.254 0.870 0.289
0.254 0.418 0.130
0.254 0.711 0.582
0.746 0.130 0.711
0.746 0.582 0.870
0.746 0.289 0.418
0.249 0.621 0.080
0.249 0.459 0.379
0.249 0.920 0.541
0.751 0.379 0.920
0.751 0.541 0.621
0.751 0.080 0.459
0.245 0.083 0.246
0.245 0.163 0.917
0.245 0.754 0.837
0.755 0.917 0.754
0.755 0.837 0.083
0.755 0.246 0.163
```

Calculated values
DFT total energy = -3.45 eV/atom

***

No. 3
The following is a DFT calculation (PBE) of an optimized crystal structure of KZr2Ru.

```
KZr2Ru
1.0
4.107 -0.038 0.078
2.265 3.426 0.078
1.542 0.820 9.083
K Ru Zr
1 1 2
Direct
0.750 0.750 0.750
0.250 0.250 0.250
0.956 0.956 0.120
0.544 0.544 0.380
```

Calculated values
DFT total energy = -6.66 eV/atom
ΔE to the lowest computed polymorph = 0.0628 eV per atom

***

No. 4
The following is a DFT calculation (PBE) of an optimized crystal structure of Ca8HN4.

```
Ca8HN4
1.0
-6.046 -2.905 2.890
-2.743 -6.192 -2.735
0.406 -6.190 3.855
Ca H N
8 1 4
Direct
0.582 0.139 0.139
0.139 0.582 0.139
0.139 0.139 0.582
0.139 0.139 0.139
0.165 0.612 0.612
0.612 0.165 0.612
0.612 0.612 0.165
0.612 0.612 0.612
0.750 0.750 0.750
0.876 0.375 0.375
0.375 0.876 0.375
0.375 0.375 0.876
0.375 0.375 0.375
```

Calculated values
DFT total energy = -4.77 eV/atom
ΔE to the lowest computed polymorph = 0.0000 eV per atom

***

No. 5
The following is a DFT calculation (PBE) of an optimized crystal structure of Gd2PaZn.

```
Gd2PaZn
1.0
-4.225 0.416 1.547
-1.630 -2.240 -3.850
0.413 -4.158 2.244
Gd Zn Pa
2 1 1
Direct
0.000 0.000 0.500
0.000 0.500 0.000
0.500 0.000 0.000
0.500 0.500 0.500
```

Calculated values
DFT total energy = -9.57 eV/atom
ΔE to the lowest computed polymorph = 0.2182 eV per atom

***

No. 6
The following is a DFT calculation (PBE) of an optimized crystal structure of RbLi3Pa2S6.

```
RbLi3Pa2S6
1.0
4.023 0.000 0.000
0.000 9.611 0.987
-2.012 -1.947 7.708
Rb Li Pa S
1 3 2 6
Direct
0.500 0.000 0.000
0.500 0.500 0.000
0.853 0.295 0.706
0.147 0.705 0.294
0.832 0.656 0.663
0.168 0.344 0.337
0.298 0.823 0.595
0.661 0.546 0.321
0.702 0.177 0.405
0.005 0.289 0.010
0.995 0.711 0.990
0.339 0.454 0.679
```

Calculated values
DFT total energy = -5.65 eV/atom

***

No. 7
The following is a DFT calculation (PBE) of an optimized crystal structure of LiTeRu2.

```
LiTeRu2
1.0
3.298 0.000 0.000
0.000 3.298 0.000
0.000 0.000 5.693
Li Ru Te
1 2 1
Direct
0.500 0.500 0.771
0.000 0.000 0.975
0.500 0.500 0.251
0.000 0.000 0.503
```

Calculated values
DFT total energy = -5.67 eV/atom

***

No. 8
The following is a DFT calculation (PBE) of an optimized crystal structure of NdAl8Co2.

```
NdAl8Co2
1.0
4.001 0.000 0.000
0.000 12.457 0.000
0.000 0.000 14.410
Nd Al Co
4 32 8
Direct
0.000 0.841 0.181
0.000 0.159 0.819
0.000 0.659 0.681
0.000 0.341 0.319
0.500 0.026 0.132
0.500 0.169 0.992
0.500 0.237 0.172
0.000 0.500 0.500
0.000 0.659 0.956
0.000 0.096 0.253
0.500 0.047 0.679
0.000 0.904 0.747
0.500 0.547 0.821
0.500 0.974 0.868
0.500 0.659 0.121
0.500 0.737 0.328
0.500 0.453 0.179
0.500 0.953 0.321
0.500 0.331 0.492
0.000 0.596 0.247
0.500 0.474 0.632
0.500 0.763 0.828
0.500 0.159 0.379
0.500 0.841 0.621
0.500 0.831 0.008
0.500 0.669 0.508
0.500 0.000 0.500
0.000 0.341 0.044
0.500 0.526 0.368
0.500 0.341 0.879
0.000 0.404 0.753
0.500 0.500 0.000
0.000 0.159 0.544
0.000 0.841 0.456
0.500 0.263 0.672
0.000 0.000 0.000
0.000 0.535 0.095
0.000 0.035 0.405
0.000 0.652 0.404
0.000 0.965 0.595
0.000 0.465 0.905
0.000 0.152 0.096
0.000 0.848 0.904
0.000 0.348 0.596
```

Calculated values
DFT total energy = -4.92 eV/atom
ΔE to the lowest computed polymorph = 0.0000 eV per atom

***

No. 9
The following is a DFT calculation (PBE) of an optimized crystal structure of Li12Cd3Ni.

```
Li12Cd3Ni
1.0
-1.163 3.648 -1.441
0.324 -1.408 -3.827
-15.795 -4.858 0.448
Li Cd Ni
12 3 1
Direct
0.500 0.500 0.000
0.500 0.500 0.236
0.500 0.500 0.500
0.500 0.500 0.764
0.500 0.000 0.105
0.500 0.000 0.367
0.500 0.000 0.633
0.500 0.000 0.895
0.000 0.500 0.105
0.000 0.500 0.367
0.000 0.500 0.633
0.000 0.500 0.895
0.000 0.000 0.234
0.000 0.000 0.500
0.000 0.000 0.766
0.000 0.000 0.000
```

Calculated values
DFT total energy = -2.06 eV/atom

***

No. 10
The following is a DFT calculation (PBE) of an optimized crystal structure of CrIn4Mo.

```
CrIn4Mo
1.0
0.000 4.008 4.008
4.008 0.000 4.008
4.008 4.008 0.000
Cr In Mo
1 4 1
Direct
0.000 0.000 0.000
0.875 0.375 0.375
0.375 0.375 0.875
0.375 0.875 0.375
0.375 0.375 0.375
0.750 0.750 0.750
```

Calculated values
DFT total energy = -4.42 eV/atom

***

No. 11
The following is a DFT calculation (PBE) of an optimized crystal structure of Nd2ScBi.

```
Nd2ScBi
1.0
-4.354 3.137 -1.351
-4.671 -2.371 -1.784
-4.508 0.007 3.210
Sc Nd Bi
1 2 1
Direct
0.500 0.500 0.500
0.750 0.750 0.750
0.250 0.250 0.250
0.000 0.000 0.000
```

Calculated values
DFT total energy = -5.14 eV/atom
ΔE to the lowest computed polymorph = 0.1872 eV per atom

***

No. 12
The following is a DFT calculation (PBE) of an optimized crystal structure of TlP2S2.

```
TlP2S2
1.0
-1.145 -2.273 3.957
4.012 1.442 1.989
-2.115 3.755 1.545
P Tl S
2 1 2
Direct
0.000 0.000 0.000
0.000 0.000 0.500
0.500 0.500 0.500
0.000 0.500 0.000
0.500 0.000 0.000
```

Calculated values
DFT total energy = -3.89 eV/atom
ΔE to the lowest computed polymorph = 0.0000 eV per atom